Record 1
Material: Sm2Ga3CuIr4
Method: DFT, PBE-GGA
State: optimized geometry

Geometry as POSCAR:
```
Sm2Ga3CuIr4
1.0
4.1865 0.0000 0.0000
0.0000 4.1865 0.0000
0.0000 0.0000 10.4790
Ir Ga Sm Cu
4 3 2 1
direct
0.0000 0.0000 0.0000 Ir
0.5000 0.0000 0.6367 Ir
0.5000 0.5000 0.0000 Ir
0.0000 0.5000 0.3633 Ir
0.0000 0.0000 0.5000 Ga
0.0000 0.5000 0.1292 Ga
0.5000 0.0000 0.8708 Ga
0.5000 0.0000 0.2476 Sm
0.0000 0.5000 0.7524 Sm
0.5000 0.5000 0.5000 Cu
```

Properties
- space group = No. 115
- energy of formation (meV per atom) = -602

Record 2
Material: MgZr2Te
Method: DFT, PBE-GGA
State: optimized geometry

Geometry as POSCAR:
```
MgZr2Te
1.0
3.5264 0.0000 0.0000
1.7632 3.0539 0.0000
1.7632 1.0180 9.0761
Mg Zr Te
1 2 1
direct
0.4995 0.4995 0.5016 Mg
0.0787 0.0787 0.7639 Zr
0.2550 0.2550 0.2351 Zr
0.6669 0.6669 0.9994 Te
```

Properties
- space group = No. 160
- energy relative to the elements, uncorrected (meV/atom) = -111
- energy relative to the lowest polymorph listed for this composition (meV per atom) = 186

| no. | magnetization (μB per cell) | DOS at the Fermi energy (states/eV per cell) |
| --- | --- | --- |
| 1 | 0.00 | 4.60 |
| 2 | 1.03 | 3.92 |